The following is a DFT calculation (PBE) of a relaxed structure of Ti5In3.

a = 6.0082 Å, b = 6.0082 Å, c = 4.1543 Å
α = 90.00°, β = 90.00°, γ = 90.29°
Atoms (fractional coordinates):
Ti: 0.0000 0.0000 0.0000
Ti: 0.0000 0.5000 0.0000
Ti: 0.2344 0.7656 0.5000
Ti: 0.5000 0.0000 0.0000
Ti: 0.7656 0.2344 0.5000
In: 0.2471 0.2471 0.5000
In: 0.5000 0.5000 0.0000
In: 0.7529 0.7529 0.5000

Summary:
DFT total energy (eV per atom): -6.066
ΔH_f (0 K) (eV/f.u.): -0.834
Magnetic moment (μB/atom): 0.00